(1)
{"formula": "BaGaGeAu2", "functional": "PBE", "state": "optimized geometry", "final_energy_ev_per_atom": -3.762, "cell": [[4.7559, 0.0000, 0.0000], [0.0000, 4.7559, 0.0000], [0.0000, 0.0000, 10.4036]], "species": ["Ge", "Ge", "Au", "Au", "Au", "Au", "Ga", "Ga", "Ba", "Ba"], "frac_coords": [[0.0000, 0.0000, 0.5000], [0.5000, 0.5000, 0.5000], [0.5000, 0.5000, 0.0000], [0.0000, 0.5000, 0.6255], [0.5000, 0.0000, 0.3745], [0.0000, 0.0000, 0.0000], [0.5000, 0.0000, 0.1186], [0.0000, 0.5000, 0.8814], [0.0000, 0.5000, 0.2548], [0.5000, 0.0000, 0.7452]]}

(2)
{"formula": "Pr3SbS2", "functional": "PBE", "state": "optimized geometry", "final_energy_ev_per_atom": -6.166, "cell": [[-3.0161, 1.2675, -2.7310], [1.9608, -3.7397, -0.5760], [-7.2402, -4.6923, 5.8181]], "species": ["S", "S", "Pr", "Pr", "Pr", "Sb"], "frac_coords": [[0.6667, 0.3333, 0.1553], [0.3333, 0.6667, 0.8447], [0.6667, 0.3333, 0.6903], [0.3333, 0.6667, 0.3097], [0.0000, 0.0000, 0.0000], [0.0000, 0.0000, 0.5000]]}

(3)
{"formula": "PmSbN2O", "functional": "PBE", "state": "optimized geometry", "final_energy_ev_per_atom": -6.988, "cell": [[5.5284, 0.0000, 0.0000], [2.7617, 4.9421, 0.0000], [2.6009, 1.6855, 5.1757]], "species": ["Sb", "Sb", "Pm", "Pm", "O", "O", "N", "N", "N", "N"], "frac_coords": [[0.8613, 0.8231, 0.4605], [0.1539, 0.1586, 0.5359], [0.3722, 0.3723, 0.8863], [0.6404, 0.6351, 0.1065], [0.4292, 0.0216, 0.7536], [0.9690, 0.1996, 0.2607], [0.2054, 0.5526, 0.2621], [0.0187, 0.8161, 0.7231], [0.8040, 0.4413, 0.7293], [0.5460, 0.9798, 0.2821]]}

(4)
{"formula": "SrTcO3", "functional": "PBE", "state": "optimized geometry", "final_energy_ev_per_atom": -7.105, "cell": [[-4.6856, -3.0571, 2.7410], [1.0543, -4.2600, -2.9492], [5.6719, -2.9957, 6.3547]], "species": ["O", "O", "O", "O", "O", "O", "O", "O", "O", "O", "O", "O", "Sr", "Sr", "Sr", "Sr", "Tc", "Tc", "Tc", "Tc"], "frac_coords": [[0.1798, 0.3217, 0.2500], [0.6404, 0.4049, 0.0936], [0.1404, 0.0951, 0.5936], [0.8202, 0.6783, 0.7500], [0.3596, 0.5951, 0.9064], [0.6798, 0.1783, 0.7500], [0.3202, 0.8217, 0.2500], [0.1404, 0.0951, 0.9064], [0.8596, 0.9049, 0.4064], [0.3596, 0.5951, 0.5936], [0.8596, 0.9049, 0.0936], [0.6404, 0.4049, 0.4064], [0.5000, 0.0000, 0.0000], [0.0000, 0.5000, 0.0000], [0.0000, 0.5000, 0.5000], [0.5000, 0.0000, 0.5000], [0.5289, 0.5142, 0.7500], [0.0289, 0.9858, 0.2500], [0.4711, 0.4858, 0.2500], [0.9711, 0.0142, 0.7500]]}

(5)
{"formula": "TmMoPd", "functional": "PBE", "state": "optimized geometry", "formation_enthalpy_0k_kj_per_mol_fu": 110, "cell": [[0.0000, 3.1919, 3.1919], [3.1919, 0.0000, 3.1919], [3.1919, 3.1919, 0.0000]], "species": ["Pd", "Mo", "Tm"], "frac_coords": [[0.0000, 0.0000, 0.0000], [0.2500, 0.2500, 0.2500], [0.7500, 0.7500, 0.7500]]}

(6)
{"formula": "Ge2Mo", "functional": "PBE", "state": "optimized geometry", "final_energy_ev_per_atom": -6.842, "cell": [[0.8516, 3.0708, -0.9831], [2.5853, -0.0426, 2.1062], [0.6689, -3.1248, -3.5246]], "species": ["Mo", "Ge", "Ge"], "frac_coords": [[0.0000, 0.0000, 0.0000], [0.3382, 0.3382, 0.6765], [0.6617, 0.6617, 0.3235]]}

(7)
{"formula": "HgPdO3", "functional": "PBE", "state": "optimized geometry", "final_energy_ev_per_atom": -3.878, "cell": [[-4.2764, -1.6676, -3.4169], [0.4025, -5.1410, -2.4803], [-3.4597, -4.1555, 1.8725]], "species": ["O", "O", "O", "O", "O", "O", "Hg", "Hg", "Pd", "Pd"], "frac_coords": [[0.7500, 0.4321, 0.0679], [0.4321, 0.0679, 0.7500], [0.2500, 0.5679, 0.9321], [0.0679, 0.7500, 0.4321], [0.9321, 0.2500, 0.5679], [0.5679, 0.9321, 0.2500], [0.5000, 0.5000, 0.5000], [0.0000, 0.0000, 0.0000], [0.7500, 0.7500, 0.7500], [0.2500, 0.2500, 0.2500]]}

(8)
{"formula": "Dy2ErTm3OsSe2", "functional": "PBE", "state": "optimized geometry", "final_energy_ev_per_atom": -5.856, "cell": [[-1.5326, 3.2945, 1.5951], [-0.0055, -3.4773, 7.1764], [6.3334, 4.1542, -2.4945]], "species": ["Dy", "Dy", "Tm", "Tm", "Tm", "Er", "Se", "Se", "Os"], "frac_coords": [[0.0000, 0.9996, 0.5987], [0.0000, 0.5987, 0.9996], [0.5000, 0.2453, 0.9992], [0.5000, 0.9992, 0.2453], [0.5000, 0.7553, 0.7553], [0.0000, 0.3969, 0.3969], [0.5000, 0.6672, 0.3325], [0.5000, 0.3325, 0.6672], [0.0000, 0.0052, 0.0052]]}